1.
LaNpCuO6: optimized geometry, PBE-GGA.

Computed properties:
- total moment (μB per atom) = 0.11
- raw formation energy (eV per atom) = -2.342
- Fermi-level density of states (states/eV per cell) = 12.32

Cell: 5.330 5.330 10.684 Å, 90.00 90.00 120.00°
Element x y z (fractional)
O1 0.646 0.009 0.358
O2 0.363 0.009 0.142
O3 0.991 0.637 0.358
Np1 0.667 0.333 0.250
O4 0.354 0.991 0.642
La1 0.000 0.000 0.500
La2 0.000 0.000 0.000
O5 0.991 0.354 0.142
O6 0.646 0.637 0.142
Cu1 0.667 0.333 0.750
Cu2 0.333 0.667 0.250
O7 0.009 0.363 0.642
O8 0.009 0.646 0.858
O9 0.637 0.646 0.642
Np2 0.333 0.667 0.750
O10 0.354 0.363 0.858
O11 0.363 0.354 0.358
O12 0.637 0.991 0.858

***

2.
Cs2TcPt: optimized geometry, PBE-GGA.

Computed properties:
- E_form (meV/atom) = 1471
- total moment (μB per atom) = 1.25
- Fermi-level density of states (states/eV per cell) = 3.22

Cell: 5.675 5.675 5.675 Å, 60.00 60.00 60.00°
Element x y z (fractional)
Pt1 0.500 0.500 0.500
Cs1 0.250 0.250 0.250
Cs2 0.750 0.750 0.750
Tc1 0.000 0.000 0.000